Record 1
Entry from Alexandria via LeMat-Bulk: a relaxed structure of V2B2Br (PBE).

Cell lengths 6.7723, 6.7723, 6.7723 Å; angles 154.40, 154.40, 36.51 degrees
With the nearest neighbours (Å) after each atom.
Sites, in units of the cell vectors:
V: 0.1229 0.1229 0.0000  4 B 2.22
V: 0.8771 0.8771 0.0000  4 B 2.22
B: 0.2500 0.7500 0.5000  4 B 2.12, 4 V 2.22
B: 0.7500 0.2500 0.5000  4 B 2.12, 4 V 2.22
Br: 0.5000 0.5000 0.0000  8 V 2.65

SG = I4/mmm (139)
Relative energy among the computed polymorphs = 30 meV per atom
ΔE_f (raw) = 0.292 eV per atom
DFT total energy = -6.36 eV per atom

=====

Record 2
Entry from Alexandria via LeMat-Bulk: a relaxed structure of V2BBr (PBE).

Cell lengths 6.2477, 6.2477, 6.2477 Å; angles 129.00, 129.00, 75.00 degrees
With the nearest neighbours (Å) after each atom.
Sites, in units of the cell vectors:
V: 0.0436 0.6250 0.9186  2 B 2.04
V: 0.3750 0.2936 0.4186  2 B 2.04
V: 0.7064 0.1250 0.0814  2 B 2.04
V: 0.8750 0.9564 0.5814  2 B 2.04
B: 0.0000 0.0000 0.0000  4 V 2.04
B: 0.7500 0.2500 0.5000  4 V 2.04
Br: 0.2500 0.7500 0.5000  4 V 2.55
Br: 0.5000 0.5000 0.0000  4 V 2.55

SG = I-42d (122)
Relative energy among the computed polymorphs = 0 meV per atom
ΔE_f (raw) = 0.500 eV per atom
DFT total energy = -6.15 eV per atom

=====

Record 3
Entry from Alexandria via LeMat-Bulk: a relaxed structure of V2B2Br (PBE).

Cell lengths 6.4178, 6.4178, 3.0204 Å; angles 90.00, 90.00, 90.00 degrees
With the nearest neighbours (Å) after each atom.
Sites, in units of the cell vectors:
V: 0.1535 0.3465 0.0000  4 B 2.22, 2 Br 2.43
V: 0.3465 0.8465 0.0000  4 B 2.22, 2 Br 2.43
V: 0.6535 0.1535 0.0000  4 B 2.22, 2 Br 2.43
V: 0.8465 0.6535 0.0000  4 B 2.22, 2 Br 2.43
B: 0.0926 0.5926 0.5000  1 B 1.68
B: 0.4074 0.0926 0.5000  1 B 1.68
B: 0.5926 0.9074 0.5000  1 B 1.68
B: 0.9074 0.4074 0.5000  1 B 1.68
Br: 0.0000 0.0000 0.0000  4 V 2.43
Br: 0.5000 0.5000 0.0000  4 V 2.43

SG = P4/mbm (127)
Relative energy among the computed polymorphs = 0 meV per atom
ΔE_f (raw) = 0.262 eV per atom
DFT total energy = -6.39 eV per atom

=====

Record 4
Entry from Alexandria via LeMat-Bulk: a relaxed structure of V2BBr (PBE).

Cell lengths 4.1283, 4.1283, 4.1283 Å; angles 60.00, 60.00, 60.00 degrees
With the nearest neighbours (Å) after each atom.
Sites, in units of the cell vectors:
V: 0.2500 0.2500 0.2500  4 Br 2.53, 4 B 2.53
V: 0.7500 0.7500 0.7500  4 Br 2.53, 4 B 2.53
B: 0.0000 0.0000 0.0000  8 V 2.53
Br: 0.5000 0.5000 0.5000  8 V 2.53

SG = Fm-3m (225)
Relative energy among the computed polymorphs = 124 meV per atom
ΔE_f (raw) = 0.624 eV per atom
DFT total energy = -6.02 eV per atom

=====

Record 5
Entry from Alexandria via LeMat-Bulk: a relaxed structure of ZrV2BBr (PBE).

Cell lengths 4.1157, 4.1157, 4.8282 Å; angles 90.00, 90.00, 90.00 degrees
With the nearest neighbours (Å) after each atom.
Sites, in units of the cell vectors:
Zr: 0.0000 0.0000 0.0000  2 B 2.41
V: 0.0000 0.5000 0.5000  2 B 2.06
V: 0.5000 0.0000 0.5000  2 B 2.06
B: 0.0000 0.0000 0.5000  4 V 2.06
Br: 0.5000 0.5000 0.0000  4 Zr 2.91, 8 V 3.17

SG = P4/mmm (123)
ΔE_f (raw) = 0.334 eV per atom
DFT total energy = -6.69 eV per atom

=====

Record 6
Entry from Alexandria via LeMat-Bulk: a relaxed structure of B3WBr (PBE).

Cell lengths 3.9989, 3.9989, 3.9989 Å; angles 90.00, 90.00, 90.00 degrees
With the nearest neighbours (Å) after each atom.
Sites, in units of the cell vectors:
B: 0.0000 0.0000 0.5000  2 Br 2.00
B: 0.0000 0.5000 0.0000  2 Br 2.00
B: 0.5000 0.0000 0.0000  2 Br 2.00
W: 0.5000 0.5000 0.5000  12 B 2.83
Br: 0.0000 0.0000 0.0000  6 B 2.00

SG = Pm-3m (221)
Relative energy among the computed polymorphs = 1034 meV per atom
ΔE_f (raw) = 2.791 eV per atom
DFT total energy = -4.14 eV per atom

=====

Question: Which of these has the lowest ΔE_f (raw)?
Answer: number 3

=====

Question: Look up the DFT total energy of the first one.
Answer: -6.36 eV per atom

=====

What did the first record say?
Entry from Alexandria via LeMat-Bulk: a relaxed structure of V2B2Br (PBE).

Cell lengths 6.7723, 6.7723, 6.7723 Å; angles 154.40, 154.40, 36.51 degrees
With the nearest neighbours (Å) after each atom.
Sites, in units of the cell vectors:
V: 0.1229 0.1229 0.0000  4 B 2.22
V: 0.8771 0.8771 0.0000  4 B 2.22
B: 0.2500 0.7500 0.5000  4 B 2.12, 4 V 2.22
B: 0.7500 0.2500 0.5000  4 B 2.12, 4 V 2.22
Br: 0.5000 0.5000 0.0000  8 V 2.65

SG = I4/mmm (139)
Relative energy among the computed polymorphs = 30 meV per atom
ΔE_f (raw) = 0.292 eV per atom
DFT total energy = -6.36 eV per atom

=====

Question: Among the records above, which one has the lowest ΔE_f (raw)?
Answer: number 3